Entry 1:
# CaPtRhPb GGA-PBE relaxed
# crystal system	cubic
# total moment	0.0	μB/f.u.
# space-group type	F-43m, No. 216
data_CaPtRhPb
_cell_length_a 4.8055
_cell_length_b 4.8055
_cell_length_c 4.8055
_cell_angle_alpha 60.00
_cell_angle_beta 60.00
_cell_angle_gamma 60.00
_symmetry_space_group_name_H-M 'P 1'
_symmetry_Int_Tables_number 1
_symmetry_space_group_name_Hall 'P 1'
loop_
_atom_site_label
_atom_site_type_symbol
_atom_site_fract_x
_atom_site_fract_y
_atom_site_fract_z
Ca1 Ca 0.5000 0.5000 0.5000
Pt1 Pt 0.7500 0.7500 0.7500
Pb1 Pb 0.0000 0.0000 0.0000
Rh1 Rh 0.2500 0.2500 0.2500

Entry 2:
# CaSmPtPb GGA-PBE relaxed
# crystal system	cubic
# total moment	0.0	μB/f.u.
# space-group type	F-43m, No. 216
data_CaSmPtPb
_cell_length_a 5.2507
_cell_length_b 5.2507
_cell_length_c 5.2507
_cell_angle_alpha 60.00
_cell_angle_beta 60.00
_cell_angle_gamma 60.00
_symmetry_space_group_name_H-M 'P 1'
_symmetry_Int_Tables_number 1
_symmetry_space_group_name_Hall 'P 1'
loop_
_atom_site_label
_atom_site_type_symbol
_atom_site_fract_x
_atom_site_fract_y
_atom_site_fract_z
Pb1 Pb 0.7500 0.7500 0.7500
Ca1 Ca 0.5000 0.5000 0.5000
Sm1 Sm 0.0000 0.0000 0.0000
Pt1 Pt 0.2500 0.2500 0.2500

Entry 3:
# CaSmPtPb GGA-PBE relaxed
# crystal system	tetragonal
# total moment	0.0	μB/f.u.
# space-group type	P4mm, No. 99
data_CaSmPtPb
_cell_length_a 3.5862
_cell_length_b 3.5862
_cell_length_c 8.1266
_cell_angle_alpha 90.00
_cell_angle_beta 90.00
_cell_angle_gamma 90.00
_symmetry_space_group_name_H-M 'P 1'
_symmetry_Int_Tables_number 1
_symmetry_space_group_name_Hall 'P 1'
loop_
_atom_site_label
_atom_site_type_symbol
_atom_site_fract_x
_atom_site_fract_y
_atom_site_fract_z
Pt1 Pt 0.0000 0.0000 0.5587
Pb1 Pb 0.0000 0.0000 0.0726
Sm1 Sm 0.5000 0.5000 0.3645
Ca1 Ca 0.5000 0.5000 0.7889

Entry 4:
# Ca2Sn3Pt4Pb GGA-PBE relaxed
# crystal system	tetragonal
# total moment	0.0	μB/f.u.
# space-group type	P-4m2, No. 115
data_Ca2Sn3Pt4Pb
_cell_length_a 4.6210
_cell_length_b 4.6210
_cell_length_c 10.9692
_cell_angle_alpha 90.00
_cell_angle_beta 90.00
_cell_angle_gamma 90.00
_symmetry_space_group_name_H-M 'P 1'
_symmetry_Int_Tables_number 1
_symmetry_space_group_name_Hall 'P 1'
loop_
_atom_site_label
_atom_site_type_symbol
_atom_site_fract_x
_atom_site_fract_y
_atom_site_fract_z
Sn1 Sn 0.0000 0.5000 0.1233
Sn2 Sn 0.5000 0.0000 0.8767
Sn3 Sn 0.0000 0.0000 0.5000
Pb1 Pb 0.5000 0.5000 0.5000
Pt1 Pt 0.0000 0.5000 0.3604
Pt2 Pt 0.5000 0.5000 0.0000
Pt3 Pt 0.5000 0.0000 0.6396
Pt4 Pt 0.0000 0.0000 0.0000
Ca1 Ca 0.5000 0.0000 0.2356
Ca2 Ca 0.0000 0.5000 0.7644

Entry 5:
# Ca2SnPtPb GGA-PBE relaxed
# crystal system	tetragonal
# total moment	0.0	μB/f.u.
# space-group type	P4/mmm, No. 123
data_Ca2SnPtPb
_cell_length_a 5.5424
_cell_length_b 5.5424
_cell_length_c 5.0642
_cell_angle_alpha 90.00
_cell_angle_beta 90.00
_cell_angle_gamma 90.00
_symmetry_space_group_name_H-M 'P 1'
_symmetry_Int_Tables_number 1
_symmetry_space_group_name_Hall 'P 1'
loop_
_atom_site_label
_atom_site_type_symbol
_atom_site_fract_x
_atom_site_fract_y
_atom_site_fract_z
Sn1 Sn 0.0000 0.0000 0.5000
Pb1 Pb 0.5000 0.5000 0.5000
Ca1 Ca 0.5000 0.0000 0.0000
Ca2 Ca 0.0000 0.5000 0.0000
Pt1 Pt 0.0000 0.0000 0.0000

Entry 6:
# SrCa2PtPb GGA-PBE relaxed
# crystal system	tetragonal
# total moment	0.0	μB/f.u.
# space-group type	P4/mmm, No. 123
data_SrCa2PtPb
_cell_length_a 5.5088
_cell_length_b 5.5088
_cell_length_c 5.8063
_cell_angle_alpha 90.00
_cell_angle_beta 90.00
_cell_angle_gamma 90.00
_symmetry_space_group_name_H-M 'P 1'
_symmetry_Int_Tables_number 1
_symmetry_space_group_name_Hall 'P 1'
loop_
_atom_site_label
_atom_site_type_symbol
_atom_site_fract_x
_atom_site_fract_y
_atom_site_fract_z
Ca1 Ca 0.5000 0.0000 0.0000
Ca2 Ca 0.0000 0.5000 0.0000
Pt1 Pt 0.0000 0.0000 0.0000
Sr1 Sr 0.0000 0.0000 0.5000
Pb1 Pb 0.5000 0.5000 0.5000

Entry 7:
# CaTbPtPb GGA-PBE relaxed
# crystal system	tetragonal
# total moment	0.0	μB/f.u.
# space-group type	P4mm, No. 99
data_CaTbPtPb
_cell_length_a 3.5546
_cell_length_b 3.5546
_cell_length_c 8.0826
_cell_angle_alpha 90.00
_cell_angle_beta 90.00
_cell_angle_gamma 90.00
_symmetry_space_group_name_H-M 'P 1'
_symmetry_Int_Tables_number 1
_symmetry_space_group_name_Hall 'P 1'
loop_
_atom_site_label
_atom_site_type_symbol
_atom_site_fract_x
_atom_site_fract_y
_atom_site_fract_z
Ca1 Ca 0.5000 0.5000 0.7892
Pb1 Pb 0.0000 0.0000 0.0778
Tb1 Tb 0.5000 0.5000 0.3648
Pt1 Pt 0.0000 0.0000 0.5528

Entry 8:
# CaTbPtPb GGA-PBE relaxed
# crystal system	cubic
# total moment	0.0	μB/f.u.
# space-group type	F-43m, No. 216
data_CaTbPtPb
_cell_length_a 5.2047
_cell_length_b 5.2047
_cell_length_c 5.2047
_cell_angle_alpha 60.00
_cell_angle_beta 60.00
_cell_angle_gamma 60.00
_symmetry_space_group_name_H-M 'P 1'
_symmetry_Int_Tables_number 1
_symmetry_space_group_name_Hall 'P 1'
loop_
_atom_site_label
_atom_site_type_symbol
_atom_site_fract_x
_atom_site_fract_y
_atom_site_fract_z
Tb1 Tb 0.0000 0.0000 0.0000
Pb1 Pb 0.2500 0.2500 0.2500
Pt1 Pt 0.7500 0.7500 0.7500
Ca1 Ca 0.5000 0.5000 0.5000

Entry 9:
# CaTiPtPb2 GGA-PBE relaxed
# crystal system	tetragonal
# total moment	0.6	μB/f.u.
# space-group type	P4/mmm, No. 123
data_CaTiPtPb2
_cell_length_a 5.3773
_cell_length_b 5.2762
_cell_length_c 5.3773
_cell_angle_alpha 90.00
_cell_angle_beta 90.00
_cell_angle_gamma 90.00
_symmetry_space_group_name_H-M 'P 1'
_symmetry_Int_Tables_number 1
_symmetry_space_group_name_Hall 'P 1'
loop_
_atom_site_label
_atom_site_type_symbol
_atom_site_fract_x
_atom_site_fract_y
_atom_site_fract_z
Pb1 Pb 0.0000 0.0000 0.5000
Pb2 Pb 0.5000 0.0000 0.0000
Ca1 Ca 0.0000 0.5000 0.0000
Pt1 Pt 0.0000 0.0000 0.0000
Ti1 Ti 0.5000 0.5000 0.5000

Entry 10:
# Ca2TlPtPb GGA-PBE relaxed
# crystal system	tetragonal
# total moment	0.0	μB/f.u.
# space-group type	P4/mmm, No. 123
data_Ca2TlPtPb
_cell_length_a 5.5896
_cell_length_b 5.5896
_cell_length_c 5.2114
_cell_angle_alpha 90.00
_cell_angle_beta 90.00
_cell_angle_gamma 90.00
_symmetry_space_group_name_H-M 'P 1'
_symmetry_Int_Tables_number 1
_symmetry_space_group_name_Hall 'P 1'
loop_
_atom_site_label
_atom_site_type_symbol
_atom_site_fract_x
_atom_site_fract_y
_atom_site_fract_z
Pb1 Pb 0.0000 0.0000 0.5000
Tl1 Tl 0.5000 0.5000 0.5000
Ca1 Ca 0.5000 0.0000 0.0000
Ca2 Ca 0.0000 0.5000 0.0000
Pt1 Pt 0.0000 0.0000 0.0000

Entry 11:
# CaTmPtPb GGA-PBE relaxed
# crystal system	cubic
# total moment	0.0	μB/f.u.
# space-group type	F-43m, No. 216
data_CaTmPtPb
_cell_length_a 5.1580
_cell_length_b 5.1580
_cell_length_c 5.1580
_cell_angle_alpha 60.00
_cell_angle_beta 60.00
_cell_angle_gamma 60.00
_symmetry_space_group_name_H-M 'P 1'
_symmetry_Int_Tables_number 1
_symmetry_space_group_name_Hall 'P 1'
loop_
_atom_site_label
_atom_site_type_symbol
_atom_site_fract_x
_atom_site_fract_y
_atom_site_fract_z
Ca1 Ca 0.0000 0.0000 0.0000
Tm1 Tm 0.5000 0.5000 0.5000
Pt1 Pt 0.2500 0.2500 0.2500
Pb1 Pb 0.7500 0.7500 0.7500

Entry 12:
# CaTmPtPb GGA-PBE relaxed
# crystal system	tetragonal
# total moment	0.0	μB/f.u.
# space-group type	P4mm, No. 99
data_CaTmPtPb
_cell_length_a 3.5233
_cell_length_b 3.5233
_cell_length_c 8.0286
_cell_angle_alpha 90.00
_cell_angle_beta 90.00
_cell_angle_gamma 90.00
_symmetry_space_group_name_H-M 'P 1'
_symmetry_Int_Tables_number 1
_symmetry_space_group_name_Hall 'P 1'
loop_
_atom_site_label
_atom_site_type_symbol
_atom_site_fract_x
_atom_site_fract_y
_atom_site_fract_z
Pb1 Pb 0.0000 0.0000 0.0829
Pt1 Pt 0.0000 0.0000 0.5472
Tm1 Tm 0.5000 0.5000 0.3654
Ca1 Ca 0.5000 0.5000 0.7892

Entry 13:
# Ca2ZnPtPb GGA-PBE relaxed
# crystal system	tetragonal
# total moment	0.0	μB/f.u.
# space-group type	P4/mmm, No. 123
data_Ca2ZnPtPb
_cell_length_a 5.5090
_cell_length_b 5.5090
_cell_length_c 4.8455
_cell_angle_alpha 90.00
_cell_angle_beta 90.00
_cell_angle_gamma 90.00
_symmetry_space_group_name_H-M 'P 1'
_symmetry_Int_Tables_number 1
_symmetry_space_group_name_Hall 'P 1'
loop_
_atom_site_label
_atom_site_type_symbol
_atom_site_fract_x
_atom_site_fract_y
_atom_site_fract_z
Pt1 Pt 0.0000 0.0000 0.0000
Ca1 Ca 0.0000 0.5000 0.0000
Ca2 Ca 0.5000 0.0000 0.0000
Zn1 Zn 0.0000 0.0000 0.5000
Pb1 Pb 0.5000 0.5000 0.5000

Entry 14:
# CaPu3Pb4 GGA-PBE relaxed
# crystal system	orthorhombic
# total moment	5.8	μB/f.u.
# space-group type	Pmmm, No. 47
data_CaPu3Pb4
_cell_length_a 3.3505
_cell_length_b 5.8916
_cell_length_c 11.7562
_cell_angle_alpha 90.00
_cell_angle_beta 90.00
_cell_angle_gamma 90.00
_symmetry_space_group_name_H-M 'P 1'
_symmetry_Int_Tables_number 1
_symmetry_space_group_name_Hall 'P 1'
loop_
_atom_site_label
_atom_site_type_symbol
_atom_site_fract_x
_atom_site_fract_y
_atom_site_fract_z
Pb1 Pb 0.0000 0.0000 0.5000
Pb2 Pb 0.0000 0.5000 0.7493
Pb3 Pb 0.0000 0.0000 0.0000
Pb4 Pb 0.0000 0.5000 0.2507
Pu1 Pu 0.5000 0.0000 0.7525
Pu2 Pu 0.5000 0.5000 0.5000
Pu3 Pu 0.5000 0.0000 0.2475
Ca1 Ca 0.5000 0.5000 0.0000

no.,formation energy (kJ/mol of formula units),volume (Å³ per cell),E (eV for the cell shown)
1,-144,78.5,-20.591
2,-262,102.4,-19.185
3,-311,104.5,-19.698
4,-636,234.2,-50.475
5,-260,155.6,-20.455
6,-264,176.2,-18.168
7,-322,102.1,-19.718
8,-265,99.7,-19.129
9,192,152.6,-21.367
10,-202,162.8,-18.209
11,-263,97.0,-18.943
12,-328,99.7,-19.618
13,-209,147.1,-17.193
14,-131,232.1,-61.186